Record 1
! PuPa2Ta, optimized geometry, DFT PBE-GGA; values from VASP
! symmetry: Fm-3m (225)
! E_form: 0.18 eV/atom
! uncorrected energy: -11.12 eV/atom
! ΔE to the lowest computed polymorph: 0 meV/atom
&SYSTEM
  ibrav = 0, nat = 4, ntyp = 3
/
ATOMIC_SPECIES
Pa 231.04 Pa.upf
Ta 180.95 Ta.upf
Pu 244.00 Pu.upf
CELL_PARAMETERS angstrom
5.038 0.000 0.000
2.519 4.363 0.000
2.519 1.454 4.113
ATOMIC_POSITIONS angstrom
Pa 2.519 1.454 1.028
Pa 7.557 4.363 3.085
Ta 0.000 0.000 0.000
Pu 5.038 2.909 2.057

=====

Record 2
! PuPaTa, optimized geometry, DFT PBE-GGA; values from VASP
! symmetry: I4/mmm (139)
! E_form: 0.58 eV/atom
! uncorrected energy: -11.32 eV/atom
! ΔE to the lowest computed polymorph: 454 meV/atom
&SYSTEM
  ibrav = 0, nat = 6, ntyp = 3
/
ATOMIC_SPECIES
Ta 180.95 Ta.upf
Pa 231.04 Pa.upf
Pu 244.00 Pu.upf
CELL_PARAMETERS angstrom
-2.137 0.167 2.231
-0.572 -3.024 -0.321
10.831 -1.349 8.330
ATOMIC_POSITIONS angstrom
Ta -0.411 -1.705 1.880
Pa 2.601 -0.762 2.548
Pu 5.139 -1.506 5.035
Ta 8.533 -2.501 8.360
Pu 2.984 -2.700 5.205
Pa 5.521 -3.444 7.692

=====

Record 3
! PuPa2Ta, optimized geometry, DFT PBE-GGA; values from VASP
! symmetry: P4/mmm (123)
! E_form: 0.18 eV/atom
! uncorrected energy: -11.11 eV/atom
! ΔE to the lowest computed polymorph: 6 meV/atom
&SYSTEM
  ibrav = 0, nat = 4, ntyp = 3
/
ATOMIC_SPECIES
Pa 231.04 Pa.upf
Pu 244.00 Pu.upf
Ta 180.95 Ta.upf
CELL_PARAMETERS angstrom
3.531 0.000 0.000
0.000 3.531 0.000
0.000 0.000 7.209
ATOMIC_POSITIONS angstrom
Pa 0.000 0.000 1.815
Pu 1.766 1.766 0.000
Pa 0.000 0.000 5.394
Ta 1.766 1.766 3.605

=====

Record 4
! PuPa2Ta, optimized geometry, DFT PBE-GGA; values from VASP
! symmetry: P4/mmm (123)
! E_form: 0.19 eV/atom
! uncorrected energy: -11.10 eV/atom
! ΔE to the lowest computed polymorph: 14 meV/atom
&SYSTEM
  ibrav = 0, nat = 4, ntyp = 3
/
ATOMIC_SPECIES
Pa 231.04 Pa.upf
Pu 244.00 Pu.upf
Ta 180.95 Ta.upf
CELL_PARAMETERS angstrom
-2.401 0.218 1.994
-0.054 -5.332 0.519
3.435 0.364 4.095
ATOMIC_POSITIONS angstrom
Pa -0.027 -2.666 0.260
Pu 0.490 -2.375 3.304
Ta -1.200 0.109 0.997
Pa 1.717 0.182 2.048

=====

Record 5
! PuPaTa, optimized geometry, DFT PBE-GGA; values from VASP
! symmetry: I4mm (107)
! E_form: 0.21 eV/atom
! uncorrected energy: -11.69 eV/atom
! ΔE to the lowest computed polymorph: 82 meV/atom
&SYSTEM
  ibrav = 0, nat = 3, ntyp = 3
/
ATOMIC_SPECIES
Pu 244.00 Pu.upf
Ta 180.95 Ta.upf
Pa 231.04 Pa.upf
CELL_PARAMETERS angstrom
-3.247 0.369 -1.737
-1.774 -0.551 3.201
2.589 4.801 0.123
ATOMIC_POSITIONS angstrom
Pu 0.053 3.162 0.574
Ta -2.485 1.481 1.017
Pa -2.433 4.595 1.582

=====

Record 6
! PuPaTa, optimized geometry, DFT PBE-GGA; values from VASP
! symmetry: P-6m2 (187)
! E_form: 0.12 eV/atom
! uncorrected energy: -11.77 eV/atom
! ΔE to the lowest computed polymorph: 0 meV/atom
&SYSTEM
  ibrav = 0, nat = 3, ntyp = 3
/
ATOMIC_SPECIES
Pu 244.00 Pu.upf
Ta 180.95 Ta.upf
Pa 231.04 Pa.upf
CELL_PARAMETERS angstrom
3.012 0.000 0.000
0.000 4.965 0.000
0.000 -2.482 4.300
ATOMIC_POSITIONS angstrom
Pu 2.510 0.000 0.000
Ta 1.004 0.000 2.866
Pa 2.509 2.482 1.433

=====

Record 7
! PuZrPaTa, optimized geometry, DFT PBE-GGA; values from VASP
! symmetry: F-43m (216)
! E_form: 0.13 eV/atom
! uncorrected energy: -10.92 eV/atom
&SYSTEM
  ibrav = 0, nat = 4, ntyp = 4
/
ATOMIC_SPECIES
Zr 91.22 Zr.upf
Pu 244.00 Pu.upf
Pa 231.04 Pa.upf
Ta 180.95 Ta.upf
CELL_PARAMETERS angstrom
-4.988 0.046 0.361
-2.558 -4.296 -0.147
-2.224 -1.729 4.133
ATOMIC_POSITIONS angstrom
Zr -7.327 -4.484 3.260
Pu -4.885 -2.989 2.173
Pa -2.442 -1.495 1.087
Ta 0.000 0.000 0.000

=====

Record 8
! TbPu4Pa, optimized geometry, DFT PBE-GGA; values from VASP
! symmetry: F-43m (216)
! E_form: 0.31 eV/atom
! uncorrected energy: -11.60 eV/atom
&SYSTEM
  ibrav = 0, nat = 6, ntyp = 3
/
ATOMIC_SPECIES
Pu 244.00 Pu.upf
Pa 231.04 Pa.upf
Tb 158.93 Tb.upf
CELL_PARAMETERS angstrom
6.028 0.000 0.000
3.014 5.221 0.000
3.014 1.740 4.922
ATOMIC_POSITIONS angstrom
Pu 4.505 4.360 3.083
Pu 6.028 1.721 3.083
Pa 0.000 0.000 0.000
Pu 7.552 4.360 3.083
Tb 3.014 1.740 1.231
Pu 6.028 3.480 0.595

=====

Record 9
! TbPu2PaTe5, optimized geometry, DFT PBE-GGA; values from VASP
! symmetry: P4/mmm (123)
! uncorrected energy: -6.98 eV/atom
! raw formation energy: -0.476 eV per atom
&SYSTEM
  ibrav = 0, nat = 9, ntyp = 4
/
ATOMIC_SPECIES
Te 127.60 Te.upf
Tb 158.93 Tb.upf
Pu 244.00 Pu.upf
Pa 231.04 Pa.upf
CELL_PARAMETERS angstrom
5.624 0.000 0.000
0.000 5.624 0.000
0.000 0.000 11.579
ATOMIC_POSITIONS angstrom
Te 2.812 2.812 0.000
Te 2.812 0.000 5.790
Te 0.000 0.000 8.736
Tb 0.000 0.000 0.000
Pu 2.812 2.812 7.720
Pu 2.812 2.812 3.859
Te 0.000 0.000 2.843
Pa 0.000 0.000 5.790
Te 0.000 2.812 5.790

=====

Record 10
! Tb2Pu3PaTe6, optimized geometry, DFT PBE-GGA; values from VASP
! symmetry: C2/m (12)
! uncorrected energy: -7.81 eV/atom
! raw formation energy: -1.092 eV per atom
&SYSTEM
  ibrav = 0, nat = 12, ntyp = 4
/
ATOMIC_SPECIES
Pu 244.00 Pu.upf
Tb 158.93 Tb.upf
Te 127.60 Te.upf
Pa 231.04 Pa.upf
CELL_PARAMETERS angstrom
-1.114 -1.317 3.996
-7.872 -2.707 -3.086
6.079 -7.092 -3.013
ATOMIC_POSITIONS angstrom
Pu -4.493 -2.012 0.455
Tb -2.114 -7.615 -0.728
Te -3.510 -7.624 -3.490
Pu 1.848 -6.295 0.811
Te 0.392 -6.284 -1.962
Tb -0.792 -3.501 -1.374
Pa -0.557 -0.658 1.998
Te -3.298 -4.831 -0.141
Te -1.963 -0.704 -0.779
Pu -4.754 -4.820 -2.913
Te -0.943 -10.411 -1.323
Te 0.603 -3.491 1.388

=====

Record 11
! TbPuThPa, optimized geometry, DFT PBE-GGA; values from VASP
! symmetry: F-43m (216)
! E_form: 0.30 eV/atom
! uncorrected energy: -8.67 eV/atom
&SYSTEM
  ibrav = 0, nat = 4, ntyp = 4
/
ATOMIC_SPECIES
Th 232.04 Th.upf
Pu 244.00 Pu.upf
Tb 158.93 Tb.upf
Pa 231.04 Pa.upf
CELL_PARAMETERS angstrom
-4.426 -2.441 -1.989
-1.530 -4.841 1.930
-4.474 -0.416 3.051
ATOMIC_POSITIONS angstrom
Th -7.823 -5.773 2.244
Pu -2.608 -1.924 0.748
Tb 0.000 0.000 0.000
Pa -5.215 -3.849 1.496

=====

Record 12
! Pu2Pa7Tc2, optimized geometry, DFT PBE-GGA; values from VASP
! symmetry: Imm2 (44)
! E_form: -0.01 eV/atom
! uncorrected energy: -10.54 eV/atom
&SYSTEM
  ibrav = 0, nat = 11, ntyp = 3
/
ATOMIC_SPECIES
Tc 98.00 Tc.upf
Pa 231.04 Pa.upf
Pu 244.00 Pu.upf
CELL_PARAMETERS angstrom
3.459 0.000 0.000
1.730 9.206 -0.081
1.730 4.294 8.144
ATOMIC_POSITIONS angstrom
Tc 5.189 10.902 5.669
Pa 3.459 1.616 2.366
Pa 3.459 4.665 7.522
Pu 1.730 8.015 1.914
Pa 1.730 3.553 4.653
Pa 3.459 5.265 2.197
Tc 1.730 3.340 1.153
Pa 3.459 9.069 4.469
Pu 3.459 6.283 4.813
Pa 5.189 7.719 7.141
Pa 3.459 10.651 7.762

=====

| no. | M_tot (μB per formula unit) |
| --- | --- |
| 1 | 5.74 |
| 2 | 0.00 |
| 3 | 4.99 |
| 4 | 4.32 |
| 5 | 4.37 |
| 6 | 4.20 |
| 7 | 5.92 |
| 8 | 21.64 |
| 9 | 13.50 |
| 10 | 19.22 |
| 11 | 7.63 |
| 12 | 11.41 |